Entry 1:
Below is a relaxed Be2OsBr crystal, with properties calculated at the GGA-PBE level.

* offset from the most stable computed form: 478 meV/atom

Cell and atoms, written as POSCAR:
```
Be2OsBr
1.0
-0.9367 -0.5914 -3.9815
-3.6697 -1.5544 1.0942
-1.2088 2.7649 -0.1263
Be Os Br
2 1 1
Direct
0.5000 0.5000 0.0000 Be
0.0000 0.0000 0.0000 Be
0.0000 0.5000 0.5000 Os
0.5000 0.0000 0.5000 Br
```

---

Entry 2:
Below is a relaxed BeOsBr crystal, with properties calculated at the GGA-PBE level.

* offset from the most stable computed form: 147 meV/atom

Cell and atoms, written as POSCAR:
```
BeOsBr
1.0
7.8364 -0.1170 0.0739
7.1131 2.6273 0.0389
0.7233 -1.2091 2.4638
Be Br Os
1 1 1
Direct
0.0023 0.0023 0.9977 Be
0.3759 0.3759 0.6241 Br
0.6218 0.6218 0.3782 Os
```

---

Entry 3:
Below is a relaxed Be2OsBr crystal, with properties calculated at the GGA-PBE level.

* offset from the most stable computed form: 626 meV/atom

Cell and atoms, written as POSCAR:
```
Be2OsBr
1.0
4.6984 -0.0008 0.0026
1.6198 4.4103 -0.0026
-2.6183 -2.9797 2.5181
Br Be Os
1 2 1
Direct
0.7500 0.2500 0.5000 Br
0.4926 0.4926 0.0000 Be
0.0074 0.0074 0.0000 Be
0.2500 0.7500 0.5000 Os
```